# 1
Entry from the Open Quantum Materials Database: an optimized crystal structure of GaFe4PC2 (PBE-GGA).

Summary:
The value obtained for the volume is 10.33 A^3/atom. The final energy comes out at -7.4881 eV/atom.

Unit cell a=2.9330 b=2.9330 c=11.0963 alpha=90.00 beta=90.00 gamma=120.00
Positions (direct):
Ga 0.0000 0.0000 0.0000
Fe 0.0000 0.0000 0.3555
Fe 0.0000 0.0000 0.6445
Fe 0.6667 0.3333 0.1804
Fe 0.6667 0.3333 0.8196
P 0.6667 0.3333 0.5000
C 0.3333 0.6667 0.2541
C 0.3333 0.6667 0.7459

=====

# 2
Entry from the Open Quantum Materials Database: an optimized crystal structure of Mg2H6IrPt (PBE-GGA).

Summary:
The value obtained for the volume is 9.06 A^3/atom. The final energy comes out at -4.0098 eV/atom.

Unit cell a=5.0420 b=5.0420 c=5.0420 alpha=60.00 beta=60.00 gamma=60.00
Positions (direct):
Mg 0.2500 0.2500 0.2500
Mg 0.7500 0.7500 0.7500
H 0.2443 0.2443 0.7557
H 0.2443 0.7557 0.2443
H 0.2443 0.7557 0.7557
H 0.7557 0.2443 0.2443
H 0.7557 0.2443 0.7557
H 0.7557 0.7557 0.2443
Ir 0.0000 0.0000 0.0000
Pt 0.5000 0.5000 0.5000

=====

# 3
Entry from the Open Quantum Materials Database: an optimized crystal structure of KFePbSe3 (PBE-GGA).

Summary:
The value obtained for the volume is 30.85 A^3/atom. The final energy comes out at -4.4731 eV/atom.

Unit cell a=9.5875 b=4.1347 c=9.6476 alpha=90.00 beta=104.55 gamma=90.00
Positions (direct):
K 0.1910 0.2500 0.2208
K 0.8089 0.7500 0.7792
Fe 0.0715 0.2500 0.5829
Fe 0.9285 0.7500 0.4171
Pb 0.3480 0.7500 0.8577
Pb 0.6520 0.2500 0.1423
Se 0.1008 0.2500 0.8290
Se 0.1864 0.7500 0.5194
Se 0.4404 0.7500 0.1661
Se 0.5596 0.2500 0.8339
Se 0.8136 0.2500 0.4806
Se 0.8992 0.7500 0.1710

=====

# 4
Entry from the Open Quantum Materials Database: an optimized crystal structure of HfFeTe2 (PBE-GGA).

Summary:
The value obtained for the volume is 21.80 A^3/atom. The final energy comes out at -5.7416 eV/atom.

Unit cell a=4.9775 b=4.9775 c=4.9775 alpha=60.00 beta=60.00 gamma=60.00
Positions (direct):
Hf 0.0000 0.0000 0.0000
Fe 0.7500 0.7500 0.7500
Te 0.2500 0.2500 0.2500
Te 0.5000 0.5000 0.5000

=====

# 5
Entry from the Open Quantum Materials Database: an optimized crystal structure of ReTeNO (PBE-GGA).

Summary:
The calculation puts the polymorph energy (0 for the lowest one) at 476 meV per atom. The value obtained for the volume is 13.75 A^3/atom. The final energy comes out at -6.9103 eV/atom.

Unit cell a=3.9406 b=3.9406 c=7.0861 alpha=90.00 beta=90.00 gamma=90.00
Positions (direct):
Re 0.2500 0.7500 0.0000
Re 0.7500 0.2500 0.0000
Te 0.2500 0.2500 0.3205
Te 0.7500 0.7500 0.6795
N 0.2500 0.2500 0.8987
N 0.7500 0.7500 0.1013
O 0.2500 0.7500 0.5000
O 0.7500 0.2500 0.5000

=====

# 6
Entry from the Open Quantum Materials Database: an optimized crystal structure of CsTmBr3 (PBE-GGA).

Summary:
The value obtained for the volume is 35.04 A^3/atom. The final energy comes out at -3.7177 eV/atom.

Unit cell a=7.9905 b=7.9905 c=6.3398 alpha=90.12 beta=90.12 gamma=59.97
Positions (direct):
Cs 0.1665 0.1665 0.2507
Cs 0.8335 0.8335 0.7493
Tm 0.5000 0.5000 0.0000
Tm 0.5000 0.5000 0.5000
Br 0.1578 0.6708 0.2495
Br 0.3290 0.3290 0.7491
Br 0.3292 0.8422 0.7505
Br 0.6708 0.1578 0.2495
Br 0.6710 0.6710 0.2509
Br 0.8422 0.3292 0.7505

=====

Copy entry 4 word for word.
Entry from the Open Quantum Materials Database: an optimized crystal structure of HfFeTe2 (PBE-GGA).

Summary:
The value obtained for the volume is 21.80 A^3/atom. The final energy comes out at -5.7416 eV/atom.

Unit cell a=4.9775 b=4.9775 c=4.9775 alpha=60.00 beta=60.00 gamma=60.00
Positions (direct):
Hf 0.0000 0.0000 0.0000
Fe 0.7500 0.7500 0.7500
Te 0.2500 0.2500 0.2500
Te 0.5000 0.5000 0.5000

=====

Question: Among the records above, which one has the lowest final energy?
Answer: GaFe4PC2